No. 1
Te3C2: relaxed, PBE.

Cell: 3.3539 3.3539 34.1582 Å, 90.00 90.00 120.00°
Space group R-3m (No. 166, hexagonal axes)
Unique sites:
Te (0.0000, 0.0000, 0.0000)
Te (0.0000, 0.0000, 0.2289)
C (0.0000, 0.0000, 0.4041)

- electronic total energy (eV/atom) = -4.13
- offset from the most stable computed form (eV per atom) = 0.175



No. 2
Th3AsS2: relaxed, PBE.

Cell: 4.084 4.084 9.068 Å, 90.00 90.00 90.00°
Space group P-4m2 (No. 115)
Unique sites:
Th (0.000, 0.000, 0.000)
Th (0.000, 0.500, 0.652)
As (0.500, 0.500, 0.000)
S (0.000, 0.500, 0.334)

- electronic total energy (eV/atom) = -7.17



no.,ΔE_f (raw) (eV per formula unit),spin magnetization (μB per cell)
1,7.22,0.0
2,-7.85,0.0